a.
Computed, not measured: a relaxed Ba2LaRe2 crystal at the GGA-PBE level of DFT.

Cell: 3.6170 3.6170 25.4320 Å, 90.00 90.00 90.00°
Atoms (fractional coordinates):
1 Ba 0.0000 0.0000 0.1360
2 Ba 0.0000 0.0000 0.8640
3 Ba 0.5000 0.5000 0.3640
4 Ba 0.5000 0.5000 0.6360
5 La 0.0000 0.0000 0.5000
6 La 0.5000 0.5000 0.0000
7 Re 0.0000 0.5000 0.2500
8 Re 0.0000 0.5000 0.7500
9 Re 0.5000 0.0000 0.2500
10 Re 0.5000 0.0000 0.7500

Output
density of states at the Fermi level = 20.07 states/eV/cell



b.
Computed, not measured: a relaxed Ba2LaRe2 crystal at the GGA-PBE level of DFT.

Cell: 9.6729 9.6729 3.2245 Å, 90.00 90.00 90.00°
Atoms (fractional coordinates):
1 Ba 0.1999 0.3001 0.0000
2 Ba 0.3001 0.8001 0.0000
3 Ba 0.6999 0.1999 0.0000
4 Ba 0.8001 0.6999 0.0000
5 La 0.0000 0.0000 0.0000
6 La 0.5000 0.5000 0.0000
7 Re 0.0816 0.5816 0.5000
8 Re 0.4184 0.0816 0.5000
9 Re 0.5816 0.9184 0.5000
10 Re 0.9184 0.4184 0.5000

Output
density of states at the Fermi level = 16.02 states/eV/cell



a comes first in stability; the runner-up is 453 meV per atom higher.



a.
Computed, not measured: a relaxed Ba3LaRe crystal at the GGA-PBE level of DFT.

Cell: 6.0730 6.0730 6.0730 Å, 90.00 90.00 90.00°
Atoms (fractional coordinates):
1 Ba 0.0000 0.0000 0.5000
2 Ba 0.0000 0.5000 0.0000
3 Ba 0.5000 0.0000 0.0000
4 La 0.0000 0.0000 0.0000
5 Re 0.5000 0.5000 0.5000

Output
density of states at the Fermi level = 29.09 states/eV/cell



b.
Computed, not measured: a relaxed Ba3LaRe crystal at the GGA-PBE level of DFT.

Cell: 5.9976 5.9976 5.9976 Å, 90.00 90.00 90.00°
Atoms (fractional coordinates):
1 Ba 0.0000 0.0000 0.5000
2 Ba 0.0000 0.5000 0.0000
3 Ba 0.5000 0.0000 0.0000
4 La 0.5000 0.5000 0.5000
5 Re 0.0000 0.0000 0.0000

Output
density of states at the Fermi level = 6.88 states/eV/cell



b comes first in stability; the runner-up is 1123 meV per atom higher.



a.
Computed, not measured: a relaxed BaLaRh3 crystal at the GGA-PBE level of DFT.

Cell: 5.0983 5.0983 5.0983 Å, 90.00 90.00 90.00°
Atoms (fractional coordinates):
1 Ba 0.0000 0.0000 0.0000
2 La 0.5000 0.5000 0.5000
3 Rh 0.0000 0.0000 0.5000
4 Rh 0.0000 0.5000 0.0000
5 Rh 0.5000 0.0000 0.0000

Output
density of states at the Fermi level = 0.78 states/eV/cell



b.
Computed, not measured: a relaxed BaLaRh3 crystal at the GGA-PBE level of DFT.

Cell: 5.0750 5.0750 5.0750 Å, 90.00 90.00 90.00°
Atoms (fractional coordinates):
1 Ba 0.0000 0.0000 0.0000
2 La 0.5000 0.5000 0.5000
3 Rh 0.0000 0.5000 0.5000
4 Rh 0.5000 0.0000 0.5000
5 Rh 0.5000 0.5000 0.0000

Output
density of states at the Fermi level = 0.95 states/eV/cell



b comes first in stability; the runner-up is 600 meV per atom higher.